1.
VASP calculation (PBE) on a geometry-optimized Cs5AgAuO2 structure.

Cell: 6.069 6.069 9.932 Å, 90.00 90.00 90.00°
Sites, in units of the cell vectors:
1 Cs 0.000 0.000 0.000
2 Cs 0.000 0.500 0.277
3 Cs 0.000 0.500 0.723
4 Cs 0.500 0.000 0.277
5 Cs 0.500 0.000 0.723
6 Ag 0.000 0.000 0.500
7 Au 0.500 0.500 0.000
8 O 0.000 0.000 0.292
9 O 0.000 0.000 0.708

Values from the calculation:
Space-group type   P4/mmm
Energy   -2.9337 eV/atom
E_form (uncorrected)   -0.677 eV/atom


2.
VASP calculation (PBE) on a geometry-optimized Cs8AgAu2O structure.

Cell: 8.326 10.489 8.375 Å, 90.00 92.37 90.00°
Sites, in units of the cell vectors:
1 Cs 0.193 0.197 0.163
2 Cs 0.193 0.803 0.163
3 Cs 0.245 0.000 0.725
4 Cs 0.285 0.500 0.656
5 Cs 0.715 0.500 0.344
6 Cs 0.755 0.000 0.275
7 Cs 0.807 0.197 0.837
8 Cs 0.807 0.803 0.837
9 Ag 0.000 0.500 0.000
10 Au 0.500 0.231 0.500
11 Au 0.500 0.769 0.500
12 O 0.000 0.000 0.000

Values from the calculation:
Space-group type   P2/m
Energy   -2.0918 eV/atom
E_form (uncorrected)   -0.326 eV/atom


3.
VASP calculation (PBE) on a geometry-optimized Cs6AgAu2O structure.

Cell: 8.669 9.351 14.349 Å, 90.00 122.37 90.00°
Sites, in units of the cell vectors:
1 Cs 0.078 0.063 0.217
2 Cs 0.078 0.437 0.717
3 Cs 0.230 0.727 0.082
4 Cs 0.230 0.773 0.582
5 Cs 0.327 0.159 0.051
6 Cs 0.327 0.341 0.551
7 Cs 0.673 0.659 0.449
8 Cs 0.673 0.841 0.949
9 Cs 0.770 0.227 0.418
10 Cs 0.770 0.273 0.918
11 Cs 0.922 0.563 0.283
12 Cs 0.922 0.937 0.783
13 Ag 0.500 0.000 0.500
14 Ag 0.500 0.500 0.000
15 Au 0.301 0.090 0.764
16 Au 0.301 0.410 0.264
17 Au 0.699 0.590 0.736
18 Au 0.699 0.910 0.236
19 O 0.000 0.000 0.000
20 O 0.000 0.500 0.500

Values from the calculation:
Space-group type   P2_1/c
Energy   -2.3633 eV/atom
E_form (uncorrected)   -0.415 eV/atom


4.
VASP calculation (PBE) on a geometry-optimized Cs2AgAuO structure.

Cell: 6.290 6.290 4.143 Å, 90.00 90.00 90.00°
Sites, in units of the cell vectors:
1 Cs 0.000 0.500 0.000
2 Cs 0.500 0.000 0.000
3 Ag 0.000 0.000 0.500
4 Au 0.500 0.500 0.500
5 O 0.000 0.000 0.000

Values from the calculation:
Space-group type   P4/mmm
Energy   -3.0845 eV/atom
E_form (uncorrected)   -0.526 eV/atom


5.
VASP calculation (PBE) on a geometry-optimized Cs4AgAuO structure.

Cell: 8.576 8.311 10.720 Å, 90.00 108.44 90.00°
Sites, in units of the cell vectors:
1 Cs 0.020 0.009 0.257
2 Cs 0.020 0.491 0.257
3 Cs 0.411 0.250 0.148
4 Cs 0.412 0.250 0.561
5 Cs 0.588 0.750 0.439
6 Cs 0.589 0.750 0.852
7 Cs 0.980 0.509 0.743
8 Cs 0.980 0.991 0.743
9 Ag 0.271 0.750 0.063
10 Ag 0.729 0.250 0.937
11 Au 0.218 0.750 0.556
12 Au 0.782 0.250 0.444
13 O 0.232 0.250 0.310
14 O 0.768 0.750 0.690

Values from the calculation:
Space-group type   P2_1/m
Energy   -2.5693 eV/atom
E_form (uncorrected)   -0.498 eV/atom


6.
VASP calculation (PBE) on a geometry-optimized Cs8AgAuO2 structure.

Cell: 9.290 9.290 10.848 Å, 90.00 90.00 120.00°
Sites, in units of the cell vectors:
1 Cs 0.174 0.348 0.275
2 Cs 0.174 0.826 0.275
3 Cs 0.333 0.667 0.955
4 Cs 0.348 0.174 0.725
5 Cs 0.652 0.826 0.275
6 Cs 0.667 0.333 0.045
7 Cs 0.826 0.174 0.725
8 Cs 0.826 0.652 0.725
9 Ag 0.000 0.000 0.000
10 Au 0.000 0.000 0.500
11 O 0.333 0.667 0.195
12 O 0.667 0.333 0.805

Values from the calculation:
Space-group type   P-3m1
Energy   -2.4331 eV/atom
E_form (uncorrected)   -0.527 eV/atom


Q: Look up the E_form (uncorrected) of the third one.
A: -0.415 eV/atom


Copy entry 4 word for word.
VASP calculation (PBE) on a geometry-optimized Cs2AgAuO structure.

Cell: 6.290 6.290 4.143 Å, 90.00 90.00 90.00°
Sites, in units of the cell vectors:
1 Cs 0.000 0.500 0.000
2 Cs 0.500 0.000 0.000
3 Ag 0.000 0.000 0.500
4 Au 0.500 0.500 0.500
5 O 0.000 0.000 0.000

Values from the calculation:
Space-group type   P4/mmm
Energy   -3.0845 eV/atom
E_form (uncorrected)   -0.526 eV/atom


Q: Which of these has the highest E_form (uncorrected)?
A: Cs8AgAu2O